1.
! ZrPaAg (PBE-GGA, relaxed); values from VASP
! * relative energy among the computed polymorphs: 299 meV/atom
! * energy relative to the elements: 0.996 eV per atom
&SYSTEM
  ibrav = 0, nat = 3, ntyp = 3
/
ATOMIC_SPECIES
Pa 231.04 Pa.upf
Ag 107.87 Ag.upf
Zr 91.22 Zr.upf
CELL_PARAMETERS angstrom
0.3428 -4.1802 -2.2955
-3.7322 -1.6850 -2.4684
0.1422 -0.0989 -4.7782
ATOMIC_POSITIONS angstrom
Pa 0.0000 0.0000 0.0000
Ag -0.8118 -1.4910 -2.3855
Zr -2.4354 -4.4731 -7.1566

2.
Material: KZrPd
Method: DFT, PBE-GGA
State: relaxed Values from VASP.

The structure in Quantum ESPRESSO input format:
```
&SYSTEM
  ibrav = 0, nat = 3, ntyp = 3
/
ATOMIC_SPECIES
Zr 91.22 Zr.upf
Pd 106.42 Pd.upf
K 39.10 K.upf
CELL_PARAMETERS angstrom
-4.6970 -0.2088 -0.1312
-2.5416 3.9356 0.4173
-2.3268 1.7020 -3.7165
ATOMIC_POSITIONS angstrom
Zr -7.1741 4.0716 -2.5728
Pd -2.3914 1.3572 -0.8576
K 0.0000 0.0000 0.0000
```

3.
Material: CuP4Se3I
Method: DFT, PBE-GGA
State: relaxed Values from VASP.

The structure in Quantum ESPRESSO input format:
```
&SYSTEM
  ibrav = 0, nat = 36, ntyp = 4
/
ATOMIC_SPECIES
Se 78.96 Se.upf
P 30.97 P.upf
I 126.90 I.upf
Cu 63.55 Cu.upf
CELL_PARAMETERS angstrom
-4.9644 10.4883 3.5005
-2.1916 -1.5354 -7.4427
-8.7494 -5.3710 3.6844
ATOMIC_POSITIONS angstrom
Se -3.0233 2.3518 -1.4476
Se -9.6260 3.2401 0.3134
Se -11.6567 2.0886 5.3513
Se -8.6598 3.9170 3.5946
Se -7.2455 -0.3352 -3.8524
Se -9.6409 -0.2888 -1.3039
Se -6.2794 0.3417 -0.5712
Se -12.8821 1.2301 1.1898
Se -9.7412 -0.2553 2.9211
Se -6.1642 3.8372 -3.1789
Se -4.2487 1.4933 -5.6091
Se -6.2645 3.8707 1.0461
P -2.9013 4.1058 0.0073
P -9.4018 5.4872 0.4453
P -7.5981 5.5986 -3.1200
P -8.6927 -2.3483 -1.1582
P -6.2456 7.3835 -2.6954
P -7.8777 0.9559 -2.0799
P -8.0277 2.6260 1.8221
P -4.6752 8.4837 2.6377
P -13.0041 -0.5240 -0.2651
P -11.2301 -4.9018 -2.8955
P -7.1248 -2.3405 -2.8127
P -9.6597 -3.8016 2.4376
P -8.3073 -2.0167 2.8622
P -8.7806 5.9224 2.5549
P -7.2127 5.9302 0.9005
P -6.5036 -1.9053 -0.7031
I -12.7253 4.6461 -1.4138
I -12.8143 4.6865 2.8065
I -3.1801 -1.0643 1.1560
I -3.0911 -1.1046 -3.0643
Cu -6.1332 -3.9175 -4.1296
Cu -1.5289 -1.0712 -5.1922
Cu -0.6627 -0.4643 -2.2504
Cu -4.8078 -2.9889 0.3713
```

4.
Material: NpGaPt
Method: DFT, PBE-GGA
State: relaxed Values from VASP.

The structure in Quantum ESPRESSO input format:
```
&SYSTEM
  ibrav = 0, nat = 3, ntyp = 3
/
ATOMIC_SPECIES
Pt 195.08 Pt.upf
Ga 69.72 Ga.upf
Np 237.00 Np.upf
CELL_PARAMETERS angstrom
0.0000 3.3093 3.3093
3.3093 0.0000 3.3093
3.3093 3.3093 0.0000
ATOMIC_POSITIONS angstrom
Pt 0.0000 0.0000 0.0000
Ga 3.3093 3.3093 3.3093
Np 1.6547 1.6547 1.6547
```

5.
Material: Y4FeAuN2
Method: DFT, PBE-GGA
State: relaxed Values from VASP.

The structure in Quantum ESPRESSO input format:
```
&SYSTEM
  ibrav = 0, nat = 8, ntyp = 4
/
ATOMIC_SPECIES
Y 88.91 Y.upf
N 14.01 N.upf
Au 196.97 Au.upf
Fe 55.84 Fe.upf
CELL_PARAMETERS angstrom
3.4934 0.0000 0.0000
-1.7467 3.0253 0.0000
0.0000 0.0000 14.0811
ATOMIC_POSITIONS angstrom
Y 1.7467 1.0085 2.2898
Y 0.0000 0.0000 5.0702
Y 0.0000 0.0000 9.0110
Y 1.7467 1.0085 11.7913
N 0.0000 2.0169 3.5885
N 0.0000 2.0169 10.4926
Au 0.0000 0.0000 0.0000
Fe 1.7467 1.0085 7.0406
```

6.
Material: BaAl2GaPt
Method: DFT, PBE-GGA
State: relaxed Values from VASP.

The structure in Quantum ESPRESSO input format:
```
&SYSTEM
  ibrav = 0, nat = 5, ntyp = 4
/
ATOMIC_SPECIES
Ga 69.72 Ga.upf
Ba 137.33 Ba.upf
Pt 195.08 Pt.upf
Al 26.98 Al.upf
CELL_PARAMETERS angstrom
-2.2215 2.2215 5.5998
2.2215 -2.2215 5.5998
2.2215 2.2215 -5.5998
ATOMIC_POSITIONS angstrom
Ga 0.0000 0.0000 6.8391
Ba 0.0000 0.0000 0.0675
Pt 0.0000 0.0000 4.1296
Al 2.2215 0.0000 2.8816
Al 0.0000 2.2215 2.8816
```

7.
Material: Lu4TlB3
Method: DFT, PBE-GGA
State: relaxed Values from VASP.

The structure in Quantum ESPRESSO input format:
```
&SYSTEM
  ibrav = 0, nat = 16, ntyp = 3
/
ATOMIC_SPECIES
Tl 204.38 Tl.upf
B 10.81 B.upf
Lu 174.97 Lu.upf
CELL_PARAMETERS angstrom
-0.7486 3.4014 -0.3093
-0.1273 -2.0804 -2.8073
-29.0123 -5.8702 5.6653
ATOMIC_POSITIONS angstrom
Tl -7.5874 -1.7207 -0.5583
Tl -22.3007 -2.8285 3.1070
B -11.7969 -0.7032 1.0559
B -14.5061 -2.9351 2.8326
B 0.0000 0.0000 0.0000
B -26.0959 -5.4656 3.0558
B -18.0913 -3.8460 1.4928
B -3.7923 0.9164 -0.5072
Lu -19.1777 -3.8803 3.7449
Lu -9.8345 -1.9899 1.9204
Lu -16.6359 -1.6823 2.0008
Lu -27.9655 -3.9747 4.2132
Lu -24.3407 -4.9249 4.7531
Lu -13.2523 -2.8669 0.5478
Lu -4.6716 -0.9452 0.9122
Lu -1.9226 -0.5745 -1.6645
```

8.
! ThBOs (PBE-GGA, relaxed); values from VASP
! * relative energy among the computed polymorphs: 364 meV/atom
&SYSTEM
  ibrav = 0, nat = 3, ntyp = 3
/
ATOMIC_SPECIES
B 10.81 B.upf
Os 190.23 Os.upf
Th 232.04 Th.upf
CELL_PARAMETERS angstrom
0.0000 3.1206 3.1206
3.1206 0.0000 3.1206
3.1206 3.1206 0.0000
ATOMIC_POSITIONS angstrom
B 1.5603 1.5603 1.5603
Os 0.0000 0.0000 0.0000
Th 4.6808 4.6808 4.6808

9.
! NdUSn (PBE-GGA, relaxed); values from VASP
! * relative energy among the computed polymorphs: 0 meV/atom
&SYSTEM
  ibrav = 0, nat = 3, ntyp = 3
/
ATOMIC_SPECIES
Nd 144.24 Nd.upf
U 238.03 U.upf
Sn 118.71 Sn.upf
CELL_PARAMETERS angstrom
0.0000 3.6872 3.6872
3.6872 0.0000 3.6872
3.6872 3.6872 0.0000
ATOMIC_POSITIONS angstrom
Nd 1.8436 1.8436 1.8436
U 0.0000 0.0000 0.0000
Sn 5.5308 5.5308 5.5308

10.
! SrCoB4 (PBE-GGA, relaxed); values from VASP
! * relative energy among the computed polymorphs: 0 meV/atom
&SYSTEM
  ibrav = 0, nat = 6, ntyp = 3
/
ATOMIC_SPECIES
B 10.81 B.upf
Co 58.93 Co.upf
Sr 87.62 Sr.upf
CELL_PARAMETERS angstrom
-1.9231 2.1530 -1.1814
1.3821 -2.0617 -1.8891
-5.5477 -4.4923 0.8440
ATOMIC_POSITIONS angstrom
B -1.4590 -2.0653 -1.3886
B -2.5608 -0.6604 -1.1527
B -3.5280 -3.7406 -1.0739
B -4.6297 -2.3357 -0.8380
Co -2.7739 -2.2461 0.4220
Sr 0.0000 0.0000 0.0000

11.
! AlTlAu (PBE-GGA, relaxed); values from VASP
! * relative energy among the computed polymorphs: 476 meV/atom
&SYSTEM
  ibrav = 0, nat = 3, ntyp = 3
/
ATOMIC_SPECIES
Au 196.97 Au.upf
Al 26.98 Al.upf
Tl 204.38 Tl.upf
CELL_PARAMETERS angstrom
0.1198 -3.7562 2.7807
-2.9417 -3.5559 -0.7467
1.6191 -4.0690 -1.6363
ATOMIC_POSITIONS angstrom
Au -0.9021 -8.5358 0.2983
Al -0.3007 -2.8453 0.0994
Tl 0.0000 0.0000 0.0000

12.
Material: Ag3SBr
Method: DFT, PBE-GGA
State: relaxed Values from VASP.

The structure in Quantum ESPRESSO input format:
```
&SYSTEM
  ibrav = 0, nat = 20, ntyp = 3
/
ATOMIC_SPECIES
Ag 107.87 Ag.upf
S 32.06 S.upf
Br 79.90 Br.upf
CELL_PARAMETERS angstrom
4.8924 -4.8112 0.0000
-4.8924 -4.8112 0.0000
0.0000 0.0000 -9.8478
ATOMIC_POSITIONS angstrom
Ag 0.0000 -7.6757 -9.5189
Ag -2.6801 -6.7135 -7.3859
Ag 0.0000 -7.6757 -5.2529
Ag 2.6801 -2.9089 -2.4620
Ag -1.6145 -4.8112 -4.9239
Ag 1.6145 -4.8112 0.0000
Ag 0.0000 -1.9468 -4.5950
Ag -2.6801 -2.9089 -2.4620
Ag 1.6145 -4.8112 -4.9239
Ag -1.6145 -4.8112 0.0000
Ag 2.6801 -6.7135 -7.3859
Ag 0.0000 -1.9468 -0.3289
S 2.4462 -2.4056 -4.9239
S -2.4462 -2.4056 0.0000
S -2.4462 -2.4056 -4.9239
S 2.4462 -2.4056 0.0000
Br 0.0000 -4.7933 -7.3859
Br 0.0000 -9.6128 -2.4620
Br 0.0000 -0.0096 -7.3859
Br 0.0000 -4.8292 -2.4620
```

| no. | calculated total energy (eV for the cell shown) |
| --- | --- |
| 1 | -17.878 |
| 2 | -10.610 |
| 3 | -153.208 |
| 4 | -21.471 |
| 5 | -60.357 |
| 6 | -21.853 |
| 7 | -80.298 |
| 8 | -23.297 |
| 9 | -18.044 |
| 10 | -35.289 |
| 11 | -8.491 |
| 12 | -59.657 |